[1]
Density functional theory data (SCAN) for a crystal of Ir3W relaxed with PBEsol.

Cell lengths 3.8562, 3.8562, 3.8562 Å; angles 90.00, 90.00, 90.00 degrees
Closest atoms and distances in Å follow each position.
Atoms (fractional coordinates):
Ir  0.5000  0.0000  0.0000  4 W 2.73, 8 Ir 2.73
Ir  0.0000  0.5000  0.0000  4 W 2.73, 8 Ir 2.73
Ir  0.0000  0.0000  0.5000  4 W 2.73, 8 Ir 2.73
W  0.5000  0.5000  0.5000  12 Ir 2.73

Results
symmetry: Pm-3m, No. 221

[2]
Density functional theory data (SCAN) for a crystal of Ir8W relaxed with PBEsol.

Cell lengths 3.8414, 6.0781, 6.0781 Å; angles 84.27, 71.58, 71.58 degrees
Closest atoms and distances in Å follow each position.
Atoms (fractional coordinates):
Ir  0.0000  0.3318  0.6682  1 W 2.71, 11 Ir 2.71-2.75
Ir  0.6632  0.6735  0.0000  10 Ir 2.66-2.77, 2 W 2.69
Ir  0.3368  0.0000  0.3265  10 Ir 2.66-2.77, 2 W 2.69
Ir  0.6682  0.3318  0.3318  1 W 2.71, 11 Ir 2.71-2.75
Ir  0.6632  0.0000  0.6735  10 Ir 2.66-2.77, 2 W 2.69
Ir  0.3318  0.6682  0.6682  1 W 2.71, 11 Ir 2.71-2.75
Ir  0.3368  0.3265  0.0000  10 Ir 2.66-2.77, 2 W 2.69
Ir  0.0000  0.6682  0.3318  1 W 2.71, 11 Ir 2.71-2.75
W  0.0000  0.0000  0.0000  12 Ir 2.69-2.71

Results
symmetry: I4/mmm, No. 139

[3]
Density functional theory data (SCAN) for a crystal of Ir3W relaxed with PBEsol.

Cell lengths 2.7580, 4.3710, 4.7667 Å; angles 90.00, 90.00, 90.00 degrees
Closest atoms and distances in Å follow each position.
Atoms (fractional coordinates):
W  0.0000  0.5000  0.3280  10 Ir 2.70-2.80, 2 W 2.76
Ir  0.0000  0.0000  0.9962  10 Ir 2.69-2.78, 2 W 2.70
Ir  0.5000  0.0000  0.5034  8 Ir 2.71-2.78, 4 W 2.72
Ir  0.5000  0.5000  0.8390  8 Ir 2.69-2.76, 4 W 2.71-2.80

Results
symmetry: Pmm2, No. 25

[4]
Density functional theory data (SCAN) for a crystal of Y2IrW relaxed with PBEsol.

Cell lengths 4.0289, 4.0289, 5.6690 Å; angles 110.81, 110.81, 90.00 degrees
Closest atoms and distances in Å follow each position.
Atoms (fractional coordinates):
Y  0.7500  0.2500  0.5000  4 W 2.85, 4 Ir 3.17, 4 Y 3.17
Y  0.0000  0.0000  0.0000  4 Ir 2.85, 4 W 3.17, 4 Y 3.17
W  0.2500  0.7500  0.5000  8 Y 2.85-3.17, 4 Ir 3.17
Ir  0.5000  0.5000  0.0000  8 Y 2.85-3.17, 4 W 3.17

Results
symmetry: I-4m2, No. 119

no.,density of states at the Fermi level (states/eV per cell),DFT formation energy (meV per atom),E_tot (eV/atom)
1,2.38,-335,-71.081
2,6.38,-181,-71.124
3,2.50,-266,-71.012
4,4.63,254,-48.864